1.
A plane-wave DFT calculation with PBE was carried out for an optimized crystal structure of La3HoTl.

Calculated values
Its symmetry is No. 12. The calculation puts the density of states at the Fermi level at 1.47 states/eV/atom. The electronic total energy comes out at -4.22 eV per atom. The value obtained for the offset from the most stable computed form is 230 meV/atom.

Cell lengths 6.5857, 8.3207, 8.4172 Å; angles 119.62, 110.01, 90.00 degrees
With the nearest neighbours (Å) after each atom.
Fractional coordinates of all 10 atoms:
1 La 0.0000 0.0000 0.0000  2 Tl 3.35
2 La 0.5000 0.6851 0.0000  3 La 3.08-3.42, 2 Tl 3.11
3 La 0.5102 0.7108 0.4216  1 Tl 3.09, 2 La 3.42
4 La 0.4898 0.2892 0.5784  1 Tl 3.09, 2 La 3.42
5 La 0.0000 0.5000 0.0000  6 La 3.56-3.64
6 La 0.5000 0.3149 0.0000  3 La 3.08-3.42, 2 Tl 3.11
7 Ho 0.0000 0.5000 0.5000  2 Tl 3.09
8 Ho 0.0000 0.0000 0.5000  2 Tl 3.09
9 Tl 0.3385 0.8789 0.7578  4 La 3.09-3.35, 2 Ho 3.09, 1 Tl 3.34
10 Tl 0.6615 0.1211 0.2422  4 La 3.09-3.35, 2 Ho 3.09, 1 Tl 3.34



2.
A plane-wave DFT calculation with PBE was carried out for an optimized crystal structure of LaHo3Tl3.

Calculated values
Its symmetry is No. 176. The calculation puts the density of states at the Fermi level at 0.94 states/eV/atom. The electronic total energy comes out at -3.95 eV per atom. The value obtained for the offset from the most stable computed form is 0 meV/atom.

Cell lengths 5.2532, 9.5339, 9.5339 Å; angles 120.00, 90.00, 90.00 degrees
With the nearest neighbours (Å) after each atom.
Fractional coordinates of all 14 atoms:
1 La 0.2500 0.6667 0.3333  9 Tl 3.45-3.51, 3 Ho 3.78
2 La 0.7500 0.3333 0.6667  9 Tl 3.45-3.51, 3 Ho 3.78
3 Ho 0.2500 0.7690 0.7711  3 Tl 3.10-3.20, 4 Ho 3.42
4 Ho 0.2500 0.2289 0.9979  3 Tl 3.10-3.20, 4 Ho 3.42
5 Ho 0.2500 0.0021 0.2310  3 Tl 3.10-3.20, 4 Ho 3.42
6 Ho 0.7500 0.2310 0.2289  3 Tl 3.10-3.20, 4 Ho 3.42
7 Ho 0.7500 0.7711 0.0021  3 Tl 3.10-3.20, 4 Ho 3.42
8 Ho 0.7500 0.9979 0.7690  3 Tl 3.10-3.20, 4 Ho 3.42
9 Tl 0.7500 0.6244 0.5532  3 Ho 3.10-3.20, 2 Tl 3.34, 1 La 3.45
10 Tl 0.7500 0.4468 0.0713  3 Ho 3.10-3.20, 2 Tl 3.34, 1 La 3.45
11 Tl 0.7500 0.9287 0.3756  3 Ho 3.10-3.20, 2 Tl 3.34, 1 La 3.45
12 Tl 0.2500 0.3756 0.4468  3 Ho 3.10-3.20, 2 Tl 3.34, 1 La 3.45
13 Tl 0.2500 0.5532 0.9287  3 Ho 3.10-3.20, 2 Tl 3.34, 1 La 3.45
14 Tl 0.2500 0.0713 0.6244  3 Ho 3.10-3.20, 2 Tl 3.34, 1 La 3.45



3.
A plane-wave DFT calculation with PBE was carried out for an optimized crystal structure of La6HoTl.

Calculated values
Its symmetry is No. 12. The calculation puts the density of states at the Fermi level at 1.34 states/eV/atom. The electronic total energy comes out at -4.56 eV per atom. The value obtained for the offset from the most stable computed form is 101 meV/atom.

Cell lengths 6.8455, 6.8455, 9.6458 Å; angles 110.99, 110.99, 119.77 degrees
With the nearest neighbours (Å) after each atom.
Fractional coordinates of all 8 atoms:
1 La 0.1751 0.1751 0.7489  1 Tl 3.37, 1 Ho 3.39, 6 La 3.51-3.54
2 La 0.6851 0.2573 0.2528  1 Tl 3.39, 1 Ho 3.40, 6 La 3.47-3.55
3 La 0.8249 0.8249 0.2511  1 Tl 3.37, 1 Ho 3.39, 6 La 3.51-3.54
4 La 0.7427 0.3149 0.7472  1 Tl 3.39, 1 Ho 3.40, 6 La 3.47-3.55
5 La 0.3149 0.7427 0.7472  1 Tl 3.39, 1 Ho 3.40, 6 La 3.47-3.55
6 La 0.2573 0.6851 0.2528  1 Tl 3.39, 1 Ho 3.40, 6 La 3.47-3.55
7 Ho 0.0000 0.0000 0.0000  2 Tl 3.38, 6 La 3.39-3.40
8 Tl 0.5000 0.5000 0.5000  6 La 3.37-3.39, 2 Ho 3.38



4.
A plane-wave DFT calculation with PBE was carried out for an optimized crystal structure of La2Ho4Tl.

Calculated values
Its symmetry is No. 11. The calculation puts the density of states at the Fermi level at 1.25 states/eV/atom. The electronic total energy comes out at -4.36 eV per atom.

Cell lengths 5.9317, 6.6677, 11.6761 Å; angles 90.00, 105.99, 90.00 degrees
With the nearest neighbours (Å) after each atom.
Fractional coordinates of all 14 atoms:
1 La 0.5729 0.7500 0.0247  2 Tl 3.32-3.40, 4 Ho 3.39-3.46, 2 La 3.45
2 La 0.4271 0.2500 0.9753  2 Tl 3.32-3.40, 4 Ho 3.39-3.46, 2 La 3.45
3 La 0.2719 0.2500 0.4274  9 Ho 3.27-3.66
4 La 0.7281 0.7500 0.5726  9 Ho 3.27-3.66
5 Ho 0.6303 0.4919 0.2861  4 Ho 3.23-3.58, 1 Tl 3.34, 2 La 3.43-3.44
6 Ho 0.9833 0.7500 0.8723  3 Tl 3.28-3.42, 3 La 3.39-3.46
7 Ho 0.0167 0.2500 0.1277  3 Tl 3.28-3.42, 3 La 3.39-3.46
8 Ho 0.6303 0.0081 0.2861  4 Ho 3.23-3.58, 1 Tl 3.34, 2 La 3.43-3.44
9 Ho 0.8634 0.2500 0.5672  1 Tl 3.13, 4 La 3.27-3.44, 2 Ho 3.48
10 Ho 0.3697 0.9919 0.7139  4 Ho 3.23-3.58, 1 Tl 3.34, 2 La 3.43-3.44
11 Ho 0.3697 0.5081 0.7139  4 Ho 3.23-3.58, 1 Tl 3.34, 2 La 3.43-3.44
12 Ho 0.1366 0.7500 0.4328  1 Tl 3.13, 4 La 3.27-3.44, 2 Ho 3.48
13 Tl 0.1411 0.7500 0.1649  6 Ho 3.13-3.42, 2 La 3.32-3.40
14 Tl 0.8589 0.2500 0.8351  6 Ho 3.13-3.42, 2 La 3.32-3.40



5.
A plane-wave DFT calculation with PBE was carried out for an optimized crystal structure of La2Ho8Tl.

Calculated values
Its symmetry is No. 12. The calculation puts the density of states at the Fermi level at 1.53 states/eV/atom. The electronic total energy comes out at -4.46 eV per atom.

Cell lengths 4.9699, 7.8830, 9.4120 Å; angles 104.54, 105.31, 90.00 degrees
With the nearest neighbours (Å) after each atom.
Fractional coordinates of all 11 atoms:
1 La 0.7802 0.3683 0.5604  10 Ho 3.46-3.69, 2 La 3.59
2 La 0.2198 0.6317 0.4396  10 Ho 3.46-3.69, 2 La 3.59
3 Ho 0.4124 0.5576 0.8248  1 Tl 3.44, 8 Ho 3.45-3.61, 3 La 3.51-3.69
4 Ho 0.6797 0.9070 0.3594  8 Ho 3.49-3.61, 3 La 3.50-3.62, 1 Tl 3.53
5 Ho 0.8664 0.8278 0.7329  7 Ho 3.49-3.60, 2 Tl 3.49, 3 La 3.55-3.68
6 Ho 0.9566 0.2763 0.9132  9 Ho 3.45-3.56, 1 La 3.46, 2 Tl 3.53
7 Ho 0.1336 0.1722 0.2671  7 Ho 3.49-3.60, 2 Tl 3.49, 3 La 3.55-3.68
8 Ho 0.3203 0.0930 0.6406  8 Ho 3.49-3.61, 3 La 3.50-3.62, 1 Tl 3.53
9 Ho 0.5876 0.4424 0.1752  1 Tl 3.44, 8 Ho 3.45-3.61, 3 La 3.51-3.69
10 Ho 0.0434 0.7237 0.0868  9 Ho 3.45-3.56, 1 La 3.46, 2 Tl 3.53
11 Tl 0.5000 0.0000 0.0000  12 Ho 3.44-3.53



6.
A plane-wave DFT calculation with PBE was carried out for an optimized crystal structure of La8HoTl2.

Calculated values
Its symmetry is No. 12. The calculation puts the density of states at the Fermi level at 1.44 states/eV/atom. The electronic total energy comes out at -4.50 eV per atom. The value obtained for the offset from the most stable computed form is 33 meV/atom.

Cell lengths 6.0433, 8.9930, 8.9930 Å; angles 119.06, 102.27, 102.27 degrees
With the nearest neighbours (Å) after each atom.
Fractional coordinates of all 11 atoms:
1 La 0.9048 0.9123 0.6966  2 La 3.26-3.34, 2 Tl 3.35-3.47
2 La 0.9048 0.6966 0.9123  2 La 3.26-3.34, 2 Tl 3.35-3.47
3 La 0.3014 0.6014 0.6014  1 Ho 3.32, 2 La 3.32-3.59, 2 Tl 3.45
4 La 0.5000 0.7768 0.2232  2 Tl 3.28, 1 Ho 3.46
5 La 0.5000 0.2232 0.7768  2 Tl 3.28, 1 Ho 3.46
6 La 0.6986 0.3986 0.3986  1 Ho 3.32, 2 La 3.32-3.59, 2 Tl 3.45
7 La 0.0952 0.3034 0.0877  2 La 3.26-3.34, 2 Tl 3.35-3.47
8 La 0.0952 0.0877 0.3034  2 La 3.26-3.34, 2 Tl 3.35-3.47
9 Ho 0.5000 0.0000 0.0000  8 La 3.32-3.68
10 Tl 0.0000 0.3052 0.6948  8 La 3.28-3.47
11 Tl 0.0000 0.6948 0.3052  8 La 3.28-3.47



7.
A plane-wave DFT calculation with PBE was carried out for an optimized crystal structure of LaHoTl.

Calculated values
Its symmetry is No. 107. The calculation puts the density of states at the Fermi level at 1.05 states/eV/atom. The electronic total energy comes out at -4.18 eV per atom. The value obtained for the offset from the most stable computed form is 55 meV/atom.

Cell lengths 3.6969, 3.6969, 7.3900 Å; angles 104.49, 104.49, 90.00 degrees
With the nearest neighbours (Å) after each atom.
Fractional coordinates of all 3 atoms:
1 Tl 0.9414 0.9414 0.8829  4 Ho 3.27, 4 La 3.49
2 Ho 0.2996 0.2996 0.5992  4 Tl 3.27
3 La 0.6089 0.6089 0.2179  4 Tl 3.49, 4 La 3.70, 4 Ho 3.71



8.
A plane-wave DFT calculation with PBE was carried out for an optimized crystal structure of La9Ho4Tl11.

Calculated values
Its symmetry is No. 65. The calculation puts the density of states at the Fermi level at 0.89 states/eV/atom. The electronic total energy comes out at -4.03 eV per atom.

Cell lengths 3.5515, 14.5473, 14.5473 Å; angles 104.34, 90.00, 90.00 degrees
With the nearest neighbours (Å) after each atom.
Fractional coordinates of all 24 atoms:
1 La 0.5000 0.6337 0.1409  8 Tl 3.44-3.72, 1 Ho 3.53, 2 La 3.55
2 La 0.5000 0.3663 0.8591  8 Tl 3.44-3.72, 1 Ho 3.53, 2 La 3.55
3 La 0.5000 0.1409 0.6337  8 Tl 3.44-3.72, 1 Ho 3.53, 2 La 3.55
4 La 0.5000 0.8591 0.3663  8 Tl 3.44-3.72, 1 Ho 3.53, 2 La 3.55
5 La 0.5000 0.7871 0.9510  8 Tl 3.43-3.52, 3 La 3.55-3.77
6 La 0.5000 0.2129 0.0490  8 Tl 3.43-3.52, 3 La 3.55-3.77
7 La 0.5000 0.9510 0.7871  8 Tl 3.43-3.52, 3 La 3.55-3.77
8 La 0.5000 0.0490 0.2129  8 Tl 3.43-3.52, 3 La 3.55-3.77
9 La 0.5000 0.5000 0.5000  4 Ho 3.42, 2 La 3.55, 4 Tl 3.55
10 Ho 0.5000 0.5521 0.7426  6 Tl 3.22-3.30, 2 La 3.42-3.53, 2 Ho 3.55
11 Ho 0.5000 0.4479 0.2574  6 Tl 3.22-3.30, 2 La 3.42-3.53, 2 Ho 3.55
12 Ho 0.5000 0.7426 0.5521  6 Tl 3.22-3.30, 2 La 3.42-3.53, 2 Ho 3.55
13 Ho 0.5000 0.2574 0.4479  6 Tl 3.22-3.30, 2 La 3.42-3.53, 2 Ho 3.55
14 Tl 0.0000 0.5749 0.9321  2 Ho 3.23, 3 Tl 3.28-3.55, 6 La 3.44-3.51
15 Tl 0.0000 0.4251 0.0679  2 Ho 3.23, 3 Tl 3.28-3.55, 6 La 3.44-3.51
16 Tl 0.0000 0.9321 0.5749  2 Ho 3.23, 3 Tl 3.28-3.55, 6 La 3.44-3.51
17 Tl 0.0000 0.0679 0.4251  2 Ho 3.23, 3 Tl 3.28-3.55, 6 La 3.44-3.51
18 Tl 0.0000 0.6340 0.3660  4 Ho 3.30, 2 Tl 3.55, 2 La 3.55
19 Tl 0.0000 0.3660 0.6340  4 Ho 3.30, 2 Tl 3.55, 2 La 3.55
20 Tl 0.0000 0.8410 0.1590  8 La 3.43-3.45, 3 Tl 3.55-3.65
21 Tl 0.0000 0.1590 0.8410  8 La 3.43-3.45, 3 Tl 3.55-3.65
22 Tl 0.0000 0.0000 0.0000  8 La 3.49, 4 Tl 3.55-3.65
23 Tl 0.0000 0.7350 0.7350  4 Ho 3.22, 4 La 3.52, 2 Tl 3.55
24 Tl 0.0000 0.2650 0.2650  4 Ho 3.22, 4 La 3.52, 2 Tl 3.55



9.
A plane-wave DFT calculation with PBE was carried out for an optimized crystal structure of LaHoTl.

Calculated values
Its symmetry is No. 156. The calculation puts the density of states at the Fermi level at 0.62 states/eV/atom. The electronic total energy comes out at -4.15 eV per atom. The value obtained for the offset from the most stable computed form is 86 meV/atom.

Cell lengths 3.8482, 5.3470, 5.3470 Å; angles 120.00, 90.00, 90.00 degrees
With the nearest neighbours (Å) after each atom.
Fractional coordinates of all 3 atoms:
1 Tl 0.1259 0.0000 0.0000  3 Ho 3.10
2 Ho 0.1993 0.6667 0.3333  3 Tl 3.10
3 La 0.6748 0.3333 0.6667  6 Tl 3.54-3.74, 6 Ho 3.59-3.69, 2 La 3.85



10.
A plane-wave DFT calculation with PBE was carried out for an optimized crystal structure of La15Ho2Tl2.

Calculated values
Its symmetry is No. 166. The calculation puts the density of states at the Fermi level at 1.20 states/eV/atom. The electronic total energy comes out at -4.51 eV per atom.

Cell lengths 8.9018, 8.9018, 8.9018 Å; angles 76.66, 76.66, 76.66 degrees
With the nearest neighbours (Å) after each atom.
Fractional coordinates of all 19 atoms:
1 La 0.0000 0.5000 0.0000  2 Tl 3.43, 8 La 3.52-3.54
2 La 0.0000 0.0000 0.5000  2 Tl 3.43, 8 La 3.52-3.54
3 La 0.5000 0.0000 0.0000  2 Tl 3.43, 8 La 3.52-3.54
4 La 0.2909 0.0000 0.7091  6 La 3.21-3.52
5 La 0.7091 0.2909 0.0000  6 La 3.21-3.52
6 La 0.0000 0.7091 0.2909  6 La 3.21-3.52
7 La 0.2909 0.7091 0.0000  6 La 3.21-3.52
8 La 0.0000 0.2909 0.7091  6 La 3.21-3.52
9 La 0.7091 0.0000 0.2909  6 La 3.21-3.52
10 La 0.3988 0.8227 0.3988  4 La 3.09-3.34
11 La 0.3988 0.3988 0.8227  4 La 3.09-3.34
12 La 0.8227 0.3988 0.3988  4 La 3.09-3.34
13 La 0.6012 0.1773 0.6012  4 La 3.09-3.34
14 La 0.6012 0.6012 0.1773  4 La 3.09-3.34
15 La 0.1773 0.6012 0.6012  4 La 3.09-3.34
16 Ho 0.7040 0.7040 0.7040  1 Tl 3.67, 15 La 4.00-4.08
17 Ho 0.2960 0.2960 0.2960  1 Tl 3.67, 15 La 4.00-4.08
18 Tl 0.9008 0.9008 0.9008  9 La 3.43-3.71, 1 Ho 3.67, 1 Tl 3.70
19 Tl 0.0992 0.0992 0.0992  9 La 3.43-3.71, 1 Ho 3.67, 1 Tl 3.70